[1]
CaVH: relaxed, PBE-GGA.

Geometry as POSCAR:
```
CaVH
1.0
-1.8580 -2.7163 -0.1949
2.4657 -1.5776 -1.5165
3.1588 -2.7109 7.9573
H Ca V
2 2 2
Direct
0.4133 0.8841 0.0054
0.9168 0.3842 0.5189
0.4170 0.8843 0.5643
0.9132 0.3841 0.9600
0.4149 0.8844 0.2127
0.9155 0.3844 0.3116
```

## Properties
The calculation puts the theoretical density at 3131 kg/m³. The calculation puts the energy above the most stable polymorph in this dataset at 0.000 eV per atom.

=====

[2]
NdSm2DySe6: relaxed, PBE-GGA.

Geometry as POSCAR:
```
NdSm2DySe6
1.0
7.3685 0.0006 0.0006
3.6848 6.3810 0.0003
3.6845 2.1275 6.5672
Nd Sm Dy Se
1 2 1 6
Direct
0.3147 0.3147 0.0558
0.5152 0.5151 0.4546
0.0177 0.0178 0.9468
0.8183 0.8184 0.5450
0.6203 0.2146 0.2536
0.2146 0.9114 0.2536
0.9115 0.6204 0.2536
0.4249 0.7179 0.7507
0.7180 0.1063 0.7507
0.1064 0.4250 0.7508
```

## Properties
The calculation puts the theoretical density at 5815 kg/m³. The formation energy without anion corrections is -42.51 kcal/mol of atoms.

=====

[3]
LaPd2F8: relaxed, PBE-GGA.

Geometry as POSCAR:
```
LaPd2F8
1.0
4.9900 -0.1424 -0.0049
-0.2316 4.9603 -3.7238
0.0060 0.0339 7.4010
F Pd La
8 2 1
Direct
0.2495 0.8331 0.4164
0.7505 0.1669 0.5835
0.7487 0.7758 0.1177
0.2511 0.2248 0.3423
0.2623 0.6336 0.8171
0.2513 0.2242 0.8822
0.7489 0.7752 0.6577
0.7377 0.3664 0.1829
0.2585 0.2313 0.6157
0.7415 0.7687 0.3843
0.0000 0.0000 0.0000
```

## Properties
The calculation puts the theoretical density at 4556 kg/m³. The formation energy without anion corrections is -51.37 kcal/mol of atoms.

=====

[4]
AcPrTm2: relaxed, PBE-GGA.

Geometry as POSCAR:
```
AcPrTm2
1.0
-3.6179 0.6740 0.3655
-2.4181 -2.7974 -0.0671
-1.0349 -1.8342 11.8478
Ac Pr Tm
1 1 2
Direct
0.5003 0.5003 0.4990
0.6664 0.6664 0.0008
0.0805 0.0805 0.7586
0.2528 0.2528 0.2416
```

## Properties
The calculation puts the theoretical density at 8355 kg/m³. The calculation puts the energy above the most stable polymorph in this dataset at 0.027 eV per atom. The calculation puts the formation energy at 0.076 eV per atom.

=====

[5]
Rb3SrAu4: relaxed, PBE-GGA.

Geometry as POSCAR:
```
Rb3SrAu4
1.0
-3.8603 0.7943 -1.0825
-0.9742 -3.9247 0.5942
-3.7506 3.3252 15.8146
Sr Au Rb
1 4 3
Direct
0.5000 0.5000 0.0000
0.0000 0.0000 0.9077
0.0000 0.0000 0.0923
0.0000 0.0000 0.3714
0.0000 0.0000 0.6286
0.5000 0.5000 0.2462
0.5000 0.5000 0.5000
0.5000 0.5000 0.7538
```

## Properties
The calculation puts the theoretical density at 6782 kg/m³. The calculation puts the formation energy at -0.407 eV per atom.

=====

[6]
CdAgW2: relaxed, PBE-GGA.

Geometry as POSCAR:
```
CdAgW2
1.0
-1.3333 -3.6806 2.4833
2.7918 -2.1044 -1.6200
2.4134 1.0296 2.8217
Ag W Cd
1 2 1
Direct
0.5000 0.5000 0.0000
0.0000 0.0000 0.0000
0.0000 0.5000 0.5000
0.5000 0.0000 0.5000
```

## Properties
The calculation puts the theoretical density at 14185 kg/m³. The calculation puts the formation energy at 0.648 eV per atom.

=====

Computed spin magnetization, in the same sequence as the records: 0.000, 0.000, 0.601, 0.000, 0.000, 0.000 μB/f.u..